Dy2Cd3Pd2 (PBE, optimized geometry); V = 155.8 Å³ per cell; calculated formation energy = -572 meV/atom; DFT total energy = -3.76 eV per atom; total magnetization = 0.000 μB per formula unit
1.0
-1.852 -0.696 -3.408
-2.516 -2.503 4.156
-3.999 6.624 0.820
Dy Cd Pd
2 3 2
Direct
0.622 0.244 0.351
0.378 0.756 0.649
0.308 0.616 0.131
0.000 0.000 0.000
0.692 0.384 0.869
0.094 0.187 0.637
0.906 0.813 0.363



CePmPu2P4 (PBE, optimized geometry); V = 187.7 Å³ per cell; calculated formation energy = -1316 meV/atom; DFT total energy = -8.94 eV per atom; total magnetization = 0.197 μB per formula unit
1.0
-2.003 -0.657 -3.465
-5.615 -2.108 3.645
-0.357 6.906 -1.104
Ce Pm Pu P
1 1 2 4
Direct
0.000 0.000 0.000
0.500 0.500 0.000
0.500 0.000 0.500
0.000 0.500 0.500
0.500 0.251 0.257
0.500 0.749 0.743
0.000 0.242 0.740
0.000 0.758 0.260



Copy entry 1 word for word.
Dy2Cd3Pd2 (PBE, optimized geometry); V = 155.8 Å³ per cell; calculated formation energy = -572 meV/atom; DFT total energy = -3.76 eV per atom; total magnetization = 0.000 μB per formula unit
1.0
-1.852 -0.696 -3.408
-2.516 -2.503 4.156
-3.999 6.624 0.820
Dy Cd Pd
2 3 2
Direct
0.622 0.244 0.351
0.378 0.756 0.649
0.308 0.616 0.131
0.000 0.000 0.000
0.692 0.384 0.869
0.094 0.187 0.637
0.906 0.813 0.363